Record 1
Compound: BeNb2InGa
Source: Alexandria
Functional: GGA-PBE
Structure: relaxed

Results
* E_form: 1.50 eV per atom
* size of the total moment: 1.44 μB per cell
* calculated density: 5.65 g/cm3

Cell: 5.1426 4.2189 5.1426 Å, 90.00 90.00 90.00°
Site moments in Bohr magnetons follow the coordinates.
Positions (direct):
Be: 0.0000 0.5000 0.0000  -0.01
Nb: 0.0000 0.0000 0.5000  0.72
Nb: 0.5000 0.0000 0.0000  0.46
Ga: 0.5000 0.5000 0.5000  -0.02
In: 0.0000 0.0000 0.0000  0.02

***

Record 2
Compound: Ac5Hg2PN
Source: Alexandria
Functional: GGA-PBE
Structure: relaxed

Results
* formation energy without anion corrections: -769 meV/atom
* size of the total moment: 0.00 μB per cell
* calculated density: 8.62 g/cm3

Cell: 4.3093 10.0793 14.3613 Å, 90.00 90.00 102.34°
Positions (direct):
Ac: 0.3516 0.7033 0.0062
Ac: 0.6768 0.3537 0.8762
Ac: 0.4974 0.9948 0.7835
Ac: 0.2917 0.5835 0.6724
Ac: 0.9587 0.9173 0.5181
Ac: 0.6484 0.2967 0.5062
Ac: 0.3232 0.6463 0.3762
Ac: 0.5026 0.0052 0.2835
Ac: 0.7083 0.4165 0.1724
Ac: 0.0413 0.0827 0.0181
Hg: 0.8692 0.7384 0.8271
Hg: 0.1142 0.2284 0.6866
Hg: 0.1308 0.2616 0.3271
Hg: 0.8858 0.7716 0.1866
P: 0.8013 0.6026 0.5235
P: 0.1987 0.3974 0.0235
N: 0.5546 0.1092 0.9302
N: 0.4454 0.8908 0.4302

***

Record 3
Compound: LaTbEr4
Source: Alexandria
Functional: GGA-PBE
Structure: relaxed

Results
* E_form: 0.20 eV per atom
* E above lowest polymorph: 0.062 eV/atom
* size of the total moment: 0.00 μB per cell
* calculated density: 8.15 g/cm3

Cell: 3.3993 5.8279 9.9397 Å, 90.00 89.99 90.11°
Positions (direct):
La: 0.9973 0.0013 0.5019
Tb: 0.4973 0.5013 0.0019
Er: 0.9973 0.5013 0.6944
Er: 0.9973 0.5013 0.3094
Er: 0.4973 0.0013 0.1836
Er: 0.4973 0.0013 0.8201